[1]
The following is a DFT calculation (PBE-GGA) of Hf3FeBi after structural relaxation.

DFT formation energy ... 962.9 kJ/mol of formula units
Spin magnetization ... 0.017 μB/atom
Energy relative to the lowest polymorph listed for this composition ... 2027 meV/atom
Space group ... Pm-3m (221)
N(E_F) ... 7.97 states/eV/f.u.
Density ... 9.1 g/cm³

Cell and atoms, written as CIF:
```
data_Hf3FeBi
_chemical_formula_sum 'Hf3 Fe1 Bi1'
_cell_length_a 5.2727
_cell_length_b 5.2727
_cell_length_c 5.2727
_cell_angle_alpha 90.00
_cell_angle_beta 90.00
_cell_angle_gamma 90.00
_symmetry_space_group_name_H-M 'P 1'
_symmetry_Int_Tables_number 1
_symmetry_space_group_name_Hall 'P 1'
loop_
_atom_site_label
_atom_site_fract_x
_atom_site_fract_y
_atom_site_fract_z
Hf1 0.0000 0.0000 0.5000
Hf2 0.0000 0.5000 0.0000
Hf3 0.5000 0.0000 0.0000
Fe1 0.5000 0.5000 0.5000
Bi1 0.0000 0.0000 0.0000
```


[2]
The following is a DFT calculation (PBE-GGA) of Sr5Pb after structural relaxation.

DFT formation energy ... 156.7 kJ/mol of formula units
Spin magnetization ... 0.000 μB/atom
Energy relative to the lowest polymorph listed for this composition ... 459 meV/atom
Space group ... P6/mmm (191)
N(E_F) ... 5.97 states/eV/f.u.
Density ... 3.3 g/cm³

Cell and atoms, written as CIF:
```
data_Sr5Pb
_chemical_formula_sum 'Sr5 Pb1'
_cell_length_a 7.3702
_cell_length_b 7.3702
_cell_length_c 6.8652
_cell_angle_alpha 90.00
_cell_angle_beta 90.00
_cell_angle_gamma 120.00
_symmetry_space_group_name_H-M 'P 1'
_symmetry_Int_Tables_number 1
_symmetry_space_group_name_Hall 'P 1'
loop_
_atom_site_label
_atom_site_fract_x
_atom_site_fract_y
_atom_site_fract_z
Sr1 0.0000 0.5000 0.0000
Sr2 0.3333 0.6667 0.5000
Sr3 0.5000 0.0000 0.0000
Sr4 0.5000 0.5000 0.0000
Sr5 0.6667 0.3333 0.5000
Pb1 0.0000 0.0000 0.5000
```


[3]
The following is a DFT calculation (PBE-GGA) of CaP4O11 after structural relaxation.

Formation energy from raw total energies ... -2.306 eV per atom
Spin magnetization ... 0.005 μB/atom
Space group ... Cmce (64)
N(E_F) ... 0.00 states/eV/f.u.
Density ... 2.2 g/cm³

Cell and atoms, written as CIF:
```
data_CaP4O11
_chemical_formula_sum 'Ca4 P16 O44'
_cell_length_a 8.8869
_cell_length_b 8.8869
_cell_length_c 12.9639
_cell_angle_alpha 90.00
_cell_angle_beta 90.00
_cell_angle_gamma 87.72
_symmetry_space_group_name_H-M 'P 1'
_symmetry_Int_Tables_number 1
_symmetry_space_group_name_Hall 'P 1'
loop_
_atom_site_label
_atom_site_fract_x
_atom_site_fract_y
_atom_site_fract_z
Ca1 0.2337 0.7663 0.9678
Ca2 0.2663 0.7337 0.4678
Ca3 0.7337 0.2663 0.5322
Ca4 0.7663 0.2337 0.0322
P1 0.0976 0.9024 0.7097
P2 0.1133 0.2349 0.6618
P3 0.1779 0.1779 0.0000
P4 0.2349 0.1133 0.3382
P5 0.2651 0.3867 0.8382
P6 0.3221 0.3221 0.5000
P7 0.3867 0.2651 0.1618
P8 0.4024 0.5976 0.2097
P9 0.5976 0.4024 0.7903
P10 0.6133 0.7349 0.8382
P11 0.6779 0.6779 0.5000
P12 0.7349 0.6133 0.1618
P13 0.7651 0.8867 0.6618
P14 0.8221 0.8221 0.0000
P15 0.8867 0.7651 0.3382
P16 0.9024 0.0976 0.2903
O1 0.0189 0.2281 0.9807
O2 0.0226 0.7216 0.3969
O3 0.0856 0.1106 0.2736
O4 0.1106 0.0856 0.7264
O5 0.1394 0.8606 0.6024
O6 0.1435 0.3565 0.7500
O7 0.1676 0.8324 0.8019
O8 0.2170 0.2633 0.4039
O9 0.2216 0.5226 0.8969
O10 0.2281 0.0189 0.0193
O11 0.2367 0.2830 0.0961
O12 0.2633 0.2170 0.5961
O13 0.2719 0.4811 0.5193
O14 0.2784 0.9774 0.3969
O15 0.2830 0.2367 0.9039
O16 0.3324 0.6676 0.3019
O17 0.3565 0.1435 0.2500
O18 0.3606 0.6394 0.1024
O19 0.3894 0.4144 0.2264
O20 0.4144 0.3894 0.7736
O21 0.4774 0.7784 0.8969
O22 0.4811 0.2719 0.4807
O23 0.5189 0.7281 0.5193
O24 0.5226 0.2216 0.1031
O25 0.5856 0.6106 0.2264
O26 0.6106 0.5856 0.7736
O27 0.6394 0.3606 0.8976
O28 0.6435 0.8565 0.7500
O29 0.6676 0.3324 0.6981
O30 0.7170 0.7633 0.0961
O31 0.7216 0.0226 0.6031
O32 0.7281 0.5189 0.4807
O33 0.7367 0.7830 0.4039
O34 0.7633 0.7170 0.9039
O35 0.7719 0.9811 0.9807
O36 0.7784 0.4774 0.1031
O37 0.7830 0.7367 0.5961
O38 0.8324 0.1676 0.1981
O39 0.8565 0.6435 0.2500
O40 0.8606 0.1394 0.3976
O41 0.8894 0.9144 0.2736
O42 0.9144 0.8894 0.7264
O43 0.9774 0.2784 0.6031
O44 0.9811 0.7719 0.0193
```